Below is a relaxed MgNbAl2 crystal, with properties calculated at the PBE-GGA level. Values from VASP.

Values from the calculation:
Density: 4185 kg/m3
Crystal system: tetragonal
Density of states at the Fermi level: 2.24 states/eV per cell
VASP energy: -4.96 eV per atom
DFT formation energy: -174 meV/atom

Geometry as Quantum ESPRESSO input:
```
&SYSTEM
  ibrav = 0, nat = 4, ntyp = 3
/
ATOMIC_SPECIES
Al 26.98 Al.upf
Mg 24.30 Mg.upf
Nb 92.91 Nb.upf
CELL_PARAMETERS angstrom
-2.123 -2.242 -2.501
3.490 -1.305 -1.793
0.190 -3.155 2.666
ATOMIC_POSITIONS angstrom
Al 0.095 -1.577 1.333
Al 1.745 -0.652 -0.896
Mg 0.778 -3.350 -0.814
Nb -1.062 -1.121 -1.251
```